Entry 1:
A geometry-optimized NpAs5 structure, computed with PBE.

Summary:
DFT total energy: -6.13 eV per atom

a b c (Å): 3.961 15.735 4.006
angles (deg): 90.00 90.00 90.00
Space group Cmmm (No. 65)
Unique sites:
Np 0.000 0.000 0.000 (multiplicity 2)
As 0.000 0.147 0.500 (multiplicity 4)
As 0.000 0.349 0.000 (multiplicity 4)
As 0.000 0.500 0.500 (multiplicity 2)

=====

Entry 2:
A geometry-optimized Np4As3 structure, computed with PBE.

Summary:
DFT total energy: -9.94 eV per atom

a b c (Å): 8.680 8.680 8.680
angles (deg): 90.00 90.00 90.00
Space group I-43d (No. 220)
Unique sites:
Np 0.076 0.076 0.076 (multiplicity 16)
As 0.000 0.250 0.375 (multiplicity 12)

=====

Entry 3:
A geometry-optimized Np2AsO structure, computed with PBE.

Summary:
DFT total energy: -10.25 eV per atom
E_form (uncorrected): -1.381 eV/atom
Energy above the most stable polymorph in this dataset: 0.00 kJ/mol of atoms

a b c (Å): 3.7475 3.7475 18.6179
angles (deg): 90.00 90.00 120.00
Space group R-3m (No. 166, hexagonal axes)
Unique sites:
Np 0.0000 0.0000 0.2340 (multiplicity 6)
As 0.0000 0.0000 0.0000 (multiplicity 3)
O 0.0000 0.0000 0.5000 (multiplicity 3)

=====

Entry 4:
A geometry-optimized NpAsO2 structure, computed with PBE.

Summary:
DFT total energy: -7.97 eV per atom
E_form (uncorrected): -1.091 eV/atom

a b c (Å): 4.5553 4.5553 10.3236
angles (deg): 90.00 90.00 120.00
Space group R-3m (No. 166, hexagonal axes)
Unique sites:
Np 0.0000 0.0000 0.0000 (multiplicity 3)
As 0.0000 0.0000 0.5000 (multiplicity 3)
O 0.0000 0.0000 0.1948 (multiplicity 6)

=====

Entry 5:
A geometry-optimized NpAs3O12 structure, computed with PBE.

Summary:
DFT total energy: -6.42 eV per atom
E_form (uncorrected): -1.017 eV/atom

a b c (Å): 8.4687 8.4687 24.4675
angles (deg): 90.00 90.00 120.00
Space group R3c (No. 161, hexagonal axes)
Unique sites:
Np 0.0000 0.0000 0.0000 (multiplicity 6)
As 0.0640 0.3813 0.0517 (multiplicity 18)
O 0.1757 0.3870 0.8767 (multiplicity 18)
O 0.1797 0.3821 0.5002 (multiplicity 18)
O 0.1914 0.4531 0.7249 (multiplicity 18)
O 0.2068 0.4541 0.1110 (multiplicity 18)

=====

Entry 6:
A geometry-optimized NpAs3O9 structure, computed with PBE.

Summary:
DFT total energy: -7.06 eV per atom
E_form (uncorrected): -1.555 eV/atom

a b c (Å): 14.604 7.724 10.077
angles (deg): 90.00 125.17 90.00
Space group Cc (No. 9)
Unique sites:
Np 0.000 0.215 0.000 (multiplicity 4)
As 0.150 0.435 0.837 (multiplicity 4)
As 0.266 0.036 0.791 (multiplicity 4)
As 0.343 0.368 0.679 (multiplicity 4)
O 0.050 0.339 0.862 (multiplicity 4)
O 0.069 0.400 0.178 (multiplicity 4)
O 0.139 0.029 0.119 (multiplicity 4)
O 0.206 0.411 0.520 (multiplicity 4)
O 0.261 0.149 0.926 (multiplicity 4)
O 0.342 0.148 0.723 (multiplicity 4)
O 0.345 0.150 0.365 (multiplicity 4)
O 0.387 0.498 0.841 (multiplicity 4)
O 0.440 0.392 0.638 (multiplicity 4)

=====

Entry 7:
A geometry-optimized Np2AsO structure, computed with PBE.

Summary:
DFT total energy: -9.81 eV per atom
E_form (uncorrected): -0.941 eV/atom
Energy above the most stable polymorph in this dataset: 42.47 kJ/mol of atoms

a b c (Å): 3.265 3.265 6.688
angles (deg): 90.00 90.00 90.00
Space group P4/mmm (No. 123)
Unique sites:
Np 0.000 0.000 0.225 (multiplicity 2)
As 0.500 0.500 0.500 (multiplicity 1)
O 0.500 0.500 0.000 (multiplicity 1)

=====

Entry 8:
A geometry-optimized Np2AsO structure, computed with PBE.

Summary:
DFT total energy: -10.24 eV per atom
E_form (uncorrected): -1.369 eV/atom
Energy above the most stable polymorph in this dataset: 1.23 kJ/mol of atoms

a b c (Å): 5.083 11.842 5.447
angles (deg): 90.00 90.00 90.00
Space group Cccm (No. 66)
Unique sites:
Np 0.242 0.115 0.000 (multiplicity 8)
As 0.250 0.250 0.500 (multiplicity 4)
O 0.000 0.000 0.250 (multiplicity 4)